# VBiClO2, relaxed, DFT PBE with a Hubbard U
data_VBiClO2
_chemical_formula_sum 'V1 Bi1 Cl1 O2'
_cell_length_a 4.189
_cell_length_b 4.189
_cell_length_c 6.246
_cell_angle_alpha 90.00
_cell_angle_beta 90.00
_cell_angle_gamma 90.00
_symmetry_space_group_name_H-M 'P 4/m m m'
_symmetry_Int_Tables_number 123
_symmetry_space_group_name_Hall '-P 4 2'
loop_
_atom_site_label
_atom_site_fract_x
_atom_site_fract_y
_atom_site_fract_z
V1 0.000 0.000 0.000
Bi1 0.000 0.000 0.500
Cl1 0.500 0.500 0.000
O1 0.000 0.500 0.500
# Spin magnetization   3.491 μB/cell
# Uncorrected energy   -4.775 eV/atom
# Calculated volume   21.91 Å³ per atom